Density functional theory data (GGA-PBE) for a relaxed structure of Mn2Ir3Rh2.

Fermi-level density of states: 15.77 states/eV/cell
Calculated formation energy: -0.109 eV/atom

Cell lengths 8.5056, 3.8307, 6.0839 Å; angles 90.00, 99.45, 90.00 degrees
Closest atoms and distances in Å follow each position.
Space group C2/m (No. 12)
One atom of each set of equivalent atoms:
1 Mn 0.2073 0.0000 0.1493 (multiplicity 4)  4 Rh 2.65-2.68, 6 Ir 2.66-2.79, 2 Mn 2.82
2 Ir 0.0000 0.5000 0.0000 (multiplicity 2)  6 Mn 2.66-2.79, 2 Ir 2.69, 4 Rh 2.71
3 Ir 0.1421 0.5000 0.4289 (multiplicity 4)  3 Mn 2.67-2.68, 5 Rh 2.68-2.74, 4 Ir 2.69-2.70
4 Rh 0.0791 0.0000 0.7219 (multiplicity 4)  4 Mn 2.65-2.68, 7 Ir 2.68-2.74, 1 Rh 2.81